The following is a SCAN calculation of TlIn2Hg at its PBEsol-relaxed geometry, from the Alexandria database.

Output
* V: 101.25 Å³ per cell
* magnetic moment: 0.00 μB per formula unit
* space group: P4mm
* uncorrected energy: -51.778 eV per atom

Cell lengths 3.3783, 3.3783, 8.8711 Å; angles 90.00, 90.00, 90.00 degrees
Element x y z (fractional)
1 Tl 0.0000 0.0000 0.5084
2 Hg 0.5000 0.5000 0.7604
3 In 0.0000 0.0000 0.9908
4 In 0.5000 0.5000 0.2404


The following is a SCAN calculation of KBeIr4 at its PBEsol-relaxed geometry, from the Alexandria database.

Output
* V: 99.78 Å³ per cell
* magnetic moment: 0.00 μB per formula unit
* space group: F-43m
* uncorrected energy: -48.852 eV per atom

Cell lengths 5.2062, 5.2062, 5.2062 Å; angles 60.00, 60.00, 60.00 degrees
Element x y z (fractional)
1 Ir 0.3745 0.8765 0.3745
2 Ir 0.8765 0.3745 0.3745
3 Ir 0.3745 0.3745 0.3745
4 Ir 0.3745 0.3745 0.8765
5 K 0.7500 0.7500 0.7500
6 Be 0.0000 0.0000 0.0000


The following is a SCAN calculation of BaTe2IBr at its PBEsol-relaxed geometry, from the Alexandria database.

Output
* raw formation energy: -0.103 eV per atom
* V: 298.28 Å³ per cell
* magnetic moment: 4.01 μB per formula unit
* space group: P4/mmm

Cell lengths 6.4213, 6.8155, 6.8155 Å; angles 90.00, 90.00, 90.00 degrees
Each line ends with the local moment (μB).
Element x y z (fractional)
1 Br 0.5000 0.5000 0.5000  0.40
2 Ba 0.0000 0.0000 0.0000  -0.01
3 Te 0.0000 0.0000 0.5000  0.84
4 Te 0.0000 0.5000 0.0000  0.84
5 I 0.5000 0.0000 0.0000  0.11


The following is a SCAN calculation of MnCoRu at its PBEsol-relaxed geometry, from the Alexandria database.

Output
* V: 41.42 Å³ per cell
* ΔE to the lowest computed polymorph: 593 meV/atom
* magnetic moment: 0.31 μB per formula unit
* space group: F-43m

Cell lengths 3.8837, 3.8837, 3.8837 Å; angles 60.00, 60.00, 60.00 degrees
Each line ends with the local moment (μB).
Element x y z (fractional)
1 Mn 0.5000 0.5000 0.5000  -3.00
2 Co 0.0000 0.0000 0.0000  1.90
3 Ru 0.2500 0.2500 0.2500  0.93


The following is a SCAN calculation of MgTa2Cl at its PBEsol-relaxed geometry, from the Alexandria database.

Output
* raw formation energy: 0.483 eV per atom
* V: 68.21 Å³ per cell
* ΔE to the lowest computed polymorph: 196 meV/atom
* magnetic moment: 0.00 μB per formula unit
* space group: P4/mmm

Cell lengths 2.8694, 2.8694, 8.2843 Å; angles 90.00, 90.00, 90.00 degrees
Element x y z (fractional)
1 Ta 0.0000 0.0000 0.2234
2 Ta 0.0000 0.0000 0.7766
3 Mg 0.5000 0.5000 0.5000
4 Cl 0.5000 0.5000 0.0000


The following is a SCAN calculation of MoIBr3 at its PBEsol-relaxed geometry, from the Alexandria database.

Output
* raw formation energy: 0.914 eV per atom
* V: 184.24 Å³ per cell
* magnetic moment: 5.06 μB per formula unit
* space group: Pm-3m

Cell lengths 5.6902, 5.6902, 5.6902 Å; angles 90.00, 90.00, 90.00 degrees
Each line ends with the local moment (μB).
Element x y z (fractional)
1 Br 0.5000 0.0000 0.0000  -0.01
2 Br 0.0000 0.5000 0.0000  -0.01
3 Br 0.0000 0.0000 0.5000  -0.01
4 I 0.0000 0.0000 0.0000  -0.01
5 Mo 0.5000 0.5000 0.5000  4.42


The following is a SCAN calculation of NdCoSi at its PBEsol-relaxed geometry, from the Alexandria database.

Output
* raw formation energy: -0.656 eV per atom
* V: 109.48 Å³ per cell
* magnetic moment: 0.27 μB per formula unit
* space group: P4/nmm

Cell lengths 3.9617, 3.9617, 6.9756 Å; angles 90.00, 90.00, 90.00 degrees
Each line ends with the local moment (μB).
Element x y z (fractional)
1 Co 0.0000 0.0000 0.5000  0.44
2 Co 0.5000 0.5000 0.5000  0.44
3 Nd 0.5000 0.0000 0.1837  -0.05
4 Nd 0.0000 0.5000 0.8163  -0.05
5 Si 0.5000 0.0000 0.6684  -0.02
6 Si 0.0000 0.5000 0.3316  -0.02


The following is a SCAN calculation of MnRhN3 at its PBEsol-relaxed geometry, from the Alexandria database.

Output
* raw formation energy: 1.118 eV per atom
* V: 47.04 Å³ per cell
* magnetic moment: 0.00 μB per formula unit
* space group: Pm-3m

Cell lengths 3.6099, 3.6099, 3.6099 Å; angles 90.00, 90.00, 90.00 degrees
Element x y z (fractional)
1 N 0.0000 0.5000 0.0000
2 N 0.5000 0.0000 0.0000
3 N 0.0000 0.0000 0.5000
4 Rh 0.5000 0.5000 0.5000
5 Mn 0.0000 0.0000 0.0000


The following is a SCAN calculation of Ti3MnF at its PBEsol-relaxed geometry, from the Alexandria database.

Output
* raw formation energy: -0.685 eV per atom
* V: 68.80 Å³ per cell
* magnetic moment: 1.25 μB per formula unit
* space group: Pm-3m

Cell lengths 4.0976, 4.0976, 4.0976 Å; angles 90.00, 90.00, 90.00 degrees
Each line ends with the local moment (μB).
Element x y z (fractional)
1 Mn 0.5000 0.5000 0.5000  3.65
2 F 0.0000 0.0000 0.0000  -0.03
3 Ti 0.0000 0.0000 0.5000  -0.72
4 Ti 0.0000 0.5000 0.0000  -0.72
5 Ti 0.5000 0.0000 0.0000  -0.72


The following is a SCAN calculation of ZnAgPO4 at its PBEsol-relaxed geometry, from the Alexandria database.

Output
* raw formation energy: -1.823 eV per atom
* V: 388.52 Å³ per cell
* ΔE to the lowest computed polymorph: 0 meV/atom
* magnetic moment: 0.00 μB per formula unit
* space group: P2_1/c

Cell lengths 5.1059, 7.2845, 10.4492 Å; angles 90.00, 90.00, 88.51 degrees
Element x y z (fractional)
1 Zn 0.8214 0.5243 0.8432
2 Zn 0.6786 0.9757 0.3432
3 Zn 0.1786 0.4757 0.1568
4 Zn 0.3214 0.0243 0.6568
5 P 0.1737 0.2092 0.3945
6 P 0.3263 0.2908 0.8945
7 P 0.8263 0.7908 0.6055
8 P 0.6737 0.7092 0.1055
9 O 0.7612 0.8885 0.1714
10 O 0.2530 0.2262 0.5379
11 O 0.1277 0.8046 0.6202
12 O 0.7530 0.7262 0.9621
13 O 0.1944 0.4642 0.8355
14 O 0.8723 0.1954 0.3798
15 O 0.2612 0.3885 0.3286
16 O 0.2470 0.2738 0.0379
17 O 0.7388 0.6115 0.6714
18 O 0.2388 0.1115 0.8286
19 O 0.3056 0.0358 0.3355
20 O 0.7470 0.7738 0.4621
21 O 0.6277 0.3046 0.8798
22 O 0.8056 0.5358 0.1645
23 O 0.3723 0.6954 0.1202
24 O 0.6944 0.9642 0.6645
25 Ag 0.3253 0.5120 0.6075
26 Ag 0.8253 0.0120 0.8925
27 Ag 0.6747 0.4880 0.3925
28 Ag 0.1747 0.9880 0.1075


The following is a SCAN calculation of Sc2HgMo at its PBEsol-relaxed geometry, from the Alexandria database.

Output
* V: 76.25 Å³ per cell
* magnetic moment: 0.00 μB per formula unit
* space group: P4/mmm
* uncorrected energy: -33.091 eV per atom

Cell lengths 3.3241, 3.3241, 6.9008 Å; angles 90.00, 90.00, 90.00 degrees
Element x y z (fractional)
1 Sc 0.0000 0.0000 0.2744
2 Sc 0.0000 0.0000 0.7256
3 Hg 0.5000 0.5000 0.0000
4 Mo 0.5000 0.5000 0.5000


The following is a SCAN calculation of NbGaI3 at its PBEsol-relaxed geometry, from the Alexandria database.

Output
* raw formation energy: 0.658 eV per atom
* V: 164.26 Å³ per cell
* magnetic moment: 3.76 μB per formula unit
* space group: Pm-3m

Cell lengths 5.4766, 5.4766, 5.4766 Å; angles 90.00, 90.00, 90.00 degrees
Each line ends with the local moment (μB).
Element x y z (fractional)
1 I 0.0000 0.5000 0.0000  -0.03
2 I 0.5000 0.0000 0.0000  -0.03
3 I 0.0000 0.0000 0.5000  -0.03
4 Nb 0.5000 0.5000 0.5000  2.84
5 Ga 0.0000 0.0000 0.0000  -0.02


The following is a SCAN calculation of BaScTl2 at its PBEsol-relaxed geometry, from the Alexandria database.

Output
* V: 117.24 Å³ per cell
* magnetic moment: 0.00 μB per formula unit
* space group: Imm2
* uncorrected energy: -49.780 eV per atom

Cell lengths 3.7532, 5.4366, 6.6277 Å; angles 114.21, 106.45, 90.00 degrees
Element x y z (fractional)
1 Ba 0.4929 0.4929 0.9859
2 Sc 0.2675 0.7675 0.5350
3 Tl 0.7301 0.2301 0.4602
4 Tl 0.0095 0.0095 0.0190


The following is a SCAN calculation of Tl3NCl at its PBEsol-relaxed geometry, from the Alexandria database.

Output
* raw formation energy: 0.268 eV per atom
* V: 125.06 Å³ per cell
* magnetic moment: 0.00 μB per formula unit
* space group: Pm-3m

Cell lengths 5.0008, 5.0008, 5.0008 Å; angles 90.00, 90.00, 90.00 degrees
Element x y z (fractional)
1 Tl 0.0000 0.5000 0.0000
2 Tl 0.5000 0.0000 0.0000
3 Tl 0.0000 0.0000 0.5000
4 Cl 0.5000 0.5000 0.5000
5 N 0.0000 0.0000 0.0000


The following is a SCAN calculation of MoIr2RuF at its PBEsol-relaxed geometry, from the Alexandria database.

Output
* raw formation energy: 1.233 eV per atom
* V: 70.79 Å³ per cell
* ΔE to the lowest computed polymorph: 0 meV/atom
* magnetic moment: 0.52 μB per formula unit
* space group: P4/mmm

Cell lengths 3.9548, 4.2307, 4.2307 Å; angles 90.00, 90.00, 90.00 degrees
Each line ends with the local moment (μB).
Element x y z (fractional)
1 Ir 0.0000 0.0000 0.5000  -0.12
2 Ir 0.0000 0.5000 0.0000  -0.12
3 Ru 0.5000 0.0000 0.0000  -0.69
4 F 0.0000 0.0000 0.0000  -0.03
5 Mo 0.5000 0.5000 0.5000  1.41


The following is a SCAN calculation of Ba2ErGaSe5 at its PBEsol-relaxed geometry, from the Alexandria database.

Output
* raw formation energy: -1.856 eV per atom
* V: 510.17 Å³ per cell
* magnetic moment: 0.00 μB per formula unit
* space group: P-1

Cell lengths 7.2599, 8.5851, 9.3159 Å; angles 103.42, 103.37, 107.32 degrees
Element x y z (fractional)
1 Se 0.7071 0.4117 0.9434
2 Se 0.4849 0.7407 0.4907
3 Se 0.0138 0.3217 0.3149
4 Se 0.2847 0.0897 0.0691
5 Se 0.5151 0.2593 0.5093
6 Se 0.9832 0.1567 0.6865
7 Se 0.9862 0.6783 0.6851
8 Se 0.7153 0.9103 0.9309
9 Se 0.0168 0.8433 0.3135
10 Se 0.2929 0.5883 0.0566
11 Ba 0.3654 0.0214 0.7117
12 Ba 0.6346 0.9786 0.2883
13 Ba 0.3470 0.5123 0.7096
14 Ba 0.6530 0.4877 0.2904
15 Ga 0.8062 0.8720 0.6874
16 Ga 0.1938 0.1280 0.3126
17 Er 0.9987 0.7310 0.9988
18 Er 0.0013 0.2690 0.0012


The following is a SCAN calculation of MnBrCl at its PBEsol-relaxed geometry, from the Alexandria database.

Output
* raw formation energy: -1.393 eV per atom
* V: 75.21 Å³ per cell
* ΔE to the lowest computed polymorph: 0 meV/atom
* magnetic moment: 5.00 μB per formula unit
* space group: P3m1

Cell lengths 3.7169, 3.7169, 6.2863 Å; angles 90.00, 90.00, 120.00 degrees
Each line ends with the local moment (μB).
Element x y z (fractional)
1 Br 0.0000 0.0000 0.0987  0.10
2 Cl 0.3333 0.6667 0.5563  0.08
3 Mn 0.6667 0.3333 0.3450  4.53


The following is a SCAN calculation of Sr2AgHgAu at its PBEsol-relaxed geometry, from the Alexandria database.

Output
* V: 170.31 Å³ per cell
* magnetic moment: 0.00 μB per formula unit
* space group: P4/mmm
* uncorrected energy: -42.858 eV per atom

Cell lengths 5.0203, 5.8245, 5.8245 Å; angles 90.00, 90.00, 90.00 degrees
Element x y z (fractional)
1 Hg 0.5000 0.5000 0.5000
2 Ag 0.0000 0.0000 0.0000
3 Sr 0.0000 0.5000 0.0000
4 Sr 0.0000 0.0000 0.5000
5 Au 0.5000 0.0000 0.0000


The following is a SCAN calculation of Mg2AsWCl at its PBEsol-relaxed geometry, from the Alexandria database.

Output
* raw formation energy: 0.887 eV per atom
* V: 99.36 Å³ per cell
* magnetic moment: 0.00 μB per formula unit
* space group: P4/mmm

Cell lengths 4.3579, 4.7750, 4.7750 Å; angles 90.00, 90.00, 90.00 degrees
Element x y z (fractional)
1 Mg 0.0000 0.0000 0.5000
2 Mg 0.0000 0.5000 0.0000
3 W 0.5000 0.0000 0.0000
4 As 0.5000 0.5000 0.5000
5 Cl 0.0000 0.0000 0.0000


The following is a SCAN calculation of CrPdI2O at its PBEsol-relaxed geometry, from the Alexandria database.

Output
* raw formation energy: 0.058 eV per atom
* V: 114.51 Å³ per cell
* magnetic moment: 5.55 μB per formula unit
* space group: P4/mmm

Cell lengths 3.8219, 5.4737, 5.4737 Å; angles 90.00, 90.00, 90.00 degrees
Each line ends with the local moment (μB).
Element x y z (fractional)
1 Cr 0.5000 0.5000 0.5000  4.28
2 I 0.0000 0.0000 0.5000  -0.01
3 I 0.0000 0.5000 0.0000  -0.01
4 Pd 0.0000 0.0000 0.0000  0.28
5 O 0.5000 0.0000 0.0000  0.43